# 1
## EuThMgHg (GGA-PBE)

Data for EuThMgHg after structural relaxation.

volume = 116 Å³ per cell
size of the total moment = 1.94 μB per atom
total DFT energy (no corrections) = -4.997 eV/atom
energy of formation from the pure elements = -0.4 eV/f.u.

Cell: 5.4728 5.4728 5.4728 Å, 60.00 60.00 60.00°
Closest atoms and distances in Å follow each position.
Fractional positions:
Eu1 0.0000 0.0000 0.0000  4 Hg 3.35, 4 Mg 3.35
Th1 0.5000 0.5000 0.5000  4 Hg 3.35, 4 Mg 3.35
Mg1 0.2500 0.2500 0.2500  4 Th 3.35, 4 Eu 3.35
Hg1 0.7500 0.7500 0.7500  4 Th 3.35, 4 Eu 3.35

---

# 2
## Na4LiBi3O8 (GGA-PBE)

Data for Na4LiBi3O8 after structural relaxation.

volume = 230 Å³ per cell
size of the total moment = 0.00 μB per atom
total DFT energy (no corrections) = -4.983 eV/atom
formation energy (no corrections) = -1.3269 eV per atom

Cell: 6.8722 6.8722 6.8792 Å, 119.98 119.98 60.01°
Closest atoms and distances in Å follow each position.
Fractional positions:
Na1 0.0000 0.0000 0.0000  6 O 2.61-2.69
Na2 0.0000 0.5000 0.5000  6 O 2.44-2.53
Na3 0.5000 0.0000 0.5000  6 O 2.44-2.53
Na4 0.5000 0.5000 0.0000  6 O 2.47-2.54
Li1 0.0000 0.0000 0.5000  6 O 2.33-2.42
Bi1 0.0000 0.5000 0.0000  6 O 2.34-2.44
Bi2 0.5000 0.0000 0.0000  6 O 2.34-2.44
Bi3 0.5000 0.5000 0.5000  6 O 2.17-2.25
O1 0.2391 0.2391 0.7578  1 Li 2.33, 2 Bi 2.34, 3 Na 2.53-2.54
O2 0.2682 0.2682 0.2681  3 Bi 2.25-2.44, 2 Na 2.44
O3 0.2696 0.7218 0.2748  2 Bi 2.17-2.40, 1 Li 2.42
O4 0.2782 0.7304 0.7252  2 Bi 2.17-2.40, 1 Li 2.42
O5 0.7218 0.2696 0.2748  2 Bi 2.17-2.40, 1 Li 2.42
O6 0.7304 0.2782 0.7252  2 Bi 2.17-2.40, 1 Li 2.42
O7 0.7318 0.7318 0.7319  3 Bi 2.25-2.44, 2 Na 2.44
O8 0.7609 0.7609 0.2422  1 Li 2.33, 2 Bi 2.34, 3 Na 2.53-2.54

---

# 3
## BaTiOs (GGA-PBE)

Data for BaTiOs after structural relaxation.

volume = 188 Å³ per cell
size of the total moment = 0.00 μB per atom
total DFT energy (no corrections) = -6.935 eV/atom
ΔE to the lowest computed polymorph = 52 meV per atom
energy of formation from the pure elements = 0.2 eV/f.u.

Cell: 4.1350 4.7346 10.2610 Å, 77.75 87.42 73.16°
Closest atoms and distances in Å follow each position.
Fractional positions:
Ba1 0.2185 0.1617 0.1878  2 Os 3.27-3.30, 3 Ti 3.55-3.64
Ba2 0.7815 0.8383 0.8122  2 Os 3.27-3.30, 3 Ti 3.55-3.64
Ti1 0.3274 0.7717 0.5360  4 Os 2.46-2.65
Ti2 0.6726 0.2283 0.4640  4 Os 2.46-2.65
Os1 0.1593 0.2616 0.6041  4 Ti 2.46-2.65
Os2 0.8407 0.7384 0.3959  4 Ti 2.46-2.65

---

# 4
## TlVCuI6 (GGA-PBE)

Data for TlVCuI6 after structural relaxation.

volume = 350 Å³ per cell
size of the total moment = 0.11 μB per atom
total DFT energy (no corrections) = -3.103 eV/atom
formation energy (no corrections) = -0.3388 eV per atom

Cell: 7.1446 7.2532 7.5136 Å, 91.68 93.86 115.55°
Closest atoms and distances in Å follow each position.
Fractional positions:
Tl1 0.0000 0.0000 0.0000  6 I 3.42-3.61
V1 0.6643 0.3449 0.5054  6 I 2.66-2.83
Cu1 0.3584 0.7244 0.4653  5 I 2.68-2.79
I1 0.3598 0.0426 0.6734  1 Cu 2.75, 1 V 2.75
I2 0.3763 0.4054 0.2715  1 Cu 2.75, 1 V 2.80
I3 0.6038 0.6474 0.7072  1 Cu 2.68, 1 V 2.83
I4 0.6343 0.0340 0.2723  1 V 2.74, 1 Cu 2.79
I5 0.9594 0.3741 0.7557  1 V 2.66
I6 0.9734 0.6262 0.3163  1 Cu 2.68, 1 V 2.79

---

# 5
## VGaI2 (GGA-PBE)

Data for VGaI2 after structural relaxation.

volume = 256 Å³ per cell
size of the total moment = 1.00 μB per atom
total DFT energy (no corrections) = -3.704 eV/atom
ΔE to the lowest computed polymorph = 0 meV per atom
formation energy (no corrections) = 0.1072 eV per atom

Cell: 6.9465 6.9465 6.9465 Å, 106.70 106.70 115.16°
Closest atoms and distances in Å follow each position.
Fractional positions:
V1 0.0000 0.0000 0.0000  4 I 2.76
V2 0.7500 0.2500 0.5000  4 I 2.76
Ga1 0.2500 0.7500 0.5000  8 I 3.43-3.82, 2 V 3.72
Ga2 0.5000 0.5000 0.0000  8 I 3.43-3.82, 2 V 3.72
I1 0.0648 0.6250 0.9398  2 V 2.76
I2 0.3750 0.3148 0.4398  2 V 2.76
I3 0.6852 0.1250 0.0602  2 V 2.76
I4 0.8750 0.9352 0.5602  2 V 2.76

---

# 6
## MoPdRh (GGA-PBE)

Data for MoPdRh after structural relaxation.

volume = 45 Å³ per cell
size of the total moment = 0.00 μB per atom
total DFT energy (no corrections) = -7.855 eV/atom
ΔE to the lowest computed polymorph = 50 meV per atom
energy of formation from the pure elements = -0.2 eV/f.u.

Cell: 2.7706 2.7706 6.8052 Å, 90.00 90.00 120.00°
Closest atoms and distances in Å follow each position.
Fractional positions:
Mo1 0.0000 0.0000 0.0000  3 Rh 2.68, 6 Mo 2.77, 3 Pd 2.80
Pd1 0.3333 0.6667 0.6630  6 Pd 2.77, 3 Mo 2.80, 3 Rh 2.85
Rh1 0.6667 0.3333 0.3161  3 Mo 2.68, 6 Rh 2.77, 3 Pd 2.85

---

# 7
## LiTm2Bi (GGA-PBE)

Data for LiTm2Bi after structural relaxation.

volume = 118 Å³ per cell
size of the total moment = 0.00 μB per atom
total DFT energy (no corrections) = -3.535 eV/atom
ΔE to the lowest computed polymorph = 473 meV per atom
energy of formation from the pure elements = 0.6 eV/f.u.

Cell: 11.6360 11.6360 11.6360 Å, 17.03 17.03 17.03°
Closest atoms and distances in Å follow each position.
Fractional positions:
Li1 0.0000 0.0000 0.0000  6 Tm 3.29, 6 Li 3.45
Tm1 0.4094 0.4094 0.4094  1 Bi 3.12, 3 Li 3.29, 6 Tm 3.45
Tm2 0.5906 0.5906 0.5906  1 Bi 3.12, 3 Li 3.29, 6 Tm 3.45
Bi1 0.5000 0.5000 0.5000  2 Tm 3.12, 6 Bi 3.45

---

# 8
## Tb2TmI (GGA-PBE)

Data for Tb2TmI after structural relaxation.

volume = 126 Å³ per cell
size of the total moment = 0.00 μB per atom
total DFT energy (no corrections) = -4.161 eV/atom
ΔE to the lowest computed polymorph = 12 meV per atom
formation energy (no corrections) = -0.3404 eV per atom

Cell: 10.6837 10.6837 10.6837 Å, 20.10 20.10 20.10°
Closest atoms and distances in Å follow each position.
Fractional positions:
Tb1 0.2461 0.2461 0.2461  3 I 3.29, 3 Tm 3.48
Tb2 0.7539 0.7539 0.7539  3 I 3.29, 3 Tm 3.48
Tm1 0.0000 0.0000 0.0000  6 Tb 3.48, 6 Tm 3.73
I1 0.5000 0.5000 0.5000  6 Tb 3.29

---

# 9
## Er2CuAgSe4 (GGA-PBE)

Data for Er2CuAgSe4 after structural relaxation.

volume = 183 Å³ per cell
size of the total moment = 0.00 μB per atom
total DFT energy (no corrections) = -4.849 eV/atom
formation energy (no corrections) = -1.0974 eV per atom

Cell: 6.7338 4.0944 7.1135 Å, 90.00 111.05 90.00°
Closest atoms and distances in Å follow each position.
Fractional positions:
Er1 0.0000 0.0000 0.0000  6 Se 2.89
Er2 0.0000 0.5000 0.5000  6 Se 2.83
Cu1 0.5000 0.0000 0.5000  6 Se 2.78-2.82
Ag1 0.5000 0.5000 0.0000  6 Se 2.84-2.88
Se1 0.2520 0.0000 0.7462  1 Cu 2.82, 3 Er 2.83-2.89, 2 Ag 2.84
Se2 0.2584 0.5000 0.2612  2 Cu 2.78, 3 Er 2.83-2.89, 1 Ag 2.88
Se3 0.7416 0.5000 0.7388  2 Cu 2.78, 3 Er 2.83-2.89, 1 Ag 2.88
Se4 0.7480 0.0000 0.2538  1 Cu 2.82, 3 Er 2.83-2.89, 2 Ag 2.84

---

# 10
## MnAlIn2S6 (GGA-PBE)

Data for MnAlIn2S6 after structural relaxation.

volume = 431 Å³ per cell
size of the total moment = 0.40 μB per atom
total DFT energy (no corrections) = -4.927 eV/atom
formation energy (no corrections) = -0.6113 eV per atom

Cell: 8.0990 8.0990 6.6317 Å, 93.89 93.89 84.16°
Closest atoms and distances in Å follow each position.
Fractional positions:
Mn1 0.0865 0.9135 0.7500  4 S 2.36-2.42
Mn2 0.9135 0.0865 0.2500  4 S 2.36-2.42
Al1 0.2474 0.7526 0.2500  6 S 2.39-2.47
Al2 0.7526 0.2474 0.7500  6 S 2.39-2.47
In1 0.2193 0.4160 0.7146  4 S 2.46-2.56
In2 0.4160 0.2193 0.2146  4 S 2.46-2.56
In3 0.5840 0.7807 0.7854  4 S 2.46-2.56
In4 0.7807 0.5840 0.2854  4 S 2.46-2.56
S1 0.0256 0.1883 0.6230  1 Al 2.41, 2 Mn 2.42-2.68, 1 In 2.56
S2 0.1141 0.6648 0.9196  1 Mn 2.36, 1 In 2.46, 1 Al 2.47
S3 0.1883 0.0256 0.1230  1 Al 2.41, 2 Mn 2.42-2.68, 1 In 2.56
S4 0.2594 0.4756 0.3596  1 Al 2.39, 2 In 2.48-2.49
S5 0.3352 0.8859 0.5804  1 Mn 2.36, 1 In 2.46, 1 Al 2.47
S6 0.4756 0.2594 0.8596  1 Al 2.39, 2 In 2.48-2.49
S7 0.5244 0.7406 0.1404  1 Al 2.39, 2 In 2.48-2.49
S8 0.6648 0.1141 0.4196  1 Mn 2.36, 1 In 2.46, 1 Al 2.47
S9 0.7406 0.5244 0.6404  1 Al 2.39, 2 In 2.48-2.49
S10 0.8117 0.9744 0.8770  1 Al 2.41, 2 Mn 2.42-2.68, 1 In 2.56
S11 0.8859 0.3352 0.0804  1 Mn 2.36, 1 In 2.46, 1 Al 2.47
S12 0.9744 0.8117 0.3770  1 Al 2.41, 2 Mn 2.42-2.68, 1 In 2.56